Arrangement 1

A relaxed Pm4DyTh crystal. Source: Alexandria via LeMat-Bulk, functional PBE.

Cell and atoms, written as CIF:
```
data_Pm4DyTh
_chemical_formula_sum 'Pm16 Dy4 Th4'
_cell_length_a 11.4712
_cell_length_b 5.1421
_cell_length_c 14.4120
_cell_angle_alpha 90.00
_cell_angle_beta 108.50
_cell_angle_gamma 90.00
_space_group_name_H-M_alt 'C 1 2/c 1'
_space_group_IT_number 15
_space_group_name_Hall '-C 2yc'
loop_
_atom_site_label
_atom_site_type_symbol
_atom_site_fract_x
_atom_site_fract_y
_atom_site_fract_z
_atom_site_occupancy
Pm1 Pm 0.1619 0.0005 0.1633 1
Pm2 Pm 0.1650 0.0003 0.4185 1
Dy1 Dy 0.0000 0.4995 0.7500 1
Th1 Th 0.0000 0.5000 0.0000 1
```

Computed properties:
Total magnetization, μB per atom: 0.000

Arrangement 2

A relaxed Pm4DyTh crystal. Source: Alexandria via LeMat-Bulk, functional PBE.

Cell and atoms, written as CIF:
```
data_Pm4DyTh
_chemical_formula_sum 'Pm16 Dy4 Th4'
_cell_length_a 9.3466
_cell_length_b 9.3466
_cell_length_c 9.3466
_cell_angle_alpha 90.00
_cell_angle_beta 90.00
_cell_angle_gamma 90.00
_space_group_name_H-M_alt 'F -4 3 m'
_space_group_IT_number 216
_space_group_name_Hall 'F -4 2 3'
loop_
_atom_site_label
_atom_site_type_symbol
_atom_site_fract_x
_atom_site_fract_y
_atom_site_fract_z
_atom_site_occupancy
Pm1 Pm 0.1248 0.1248 0.1248 1
Dy1 Dy 0.0000 0.0000 0.5000 1
Th1 Th 0.2500 0.2500 0.7500 1
```

Computed properties:
Total magnetization, μB per atom: 0.252

Least stable: arrangement 2

Arrangement 1

A relaxed PmDy6Th2 crystal. Source: Alexandria via LeMat-Bulk, functional PBE.

Cell and atoms, written as CIF:
```
data_PmDy6Th2
_chemical_formula_sum 'Pm1 Dy6 Th2'
_cell_length_a 3.5708
_cell_length_b 3.5708
_cell_length_c 26.4125
_cell_angle_alpha 90.00
_cell_angle_beta 90.00
_cell_angle_gamma 120.00
_space_group_name_H-M_alt 'P -6 m 2'
_space_group_IT_number 187
_space_group_name_Hall 'P -6 2'
loop_
_atom_site_label
_atom_site_type_symbol
_atom_site_fract_x
_atom_site_fract_y
_atom_site_fract_z
_atom_site_occupancy
Pm1 Pm 0.0000 0.0000 0.0000 1
Dy1 Dy 0.0000 0.0000 0.2186 1
Dy2 Dy 0.0000 0.0000 0.4370 1
Dy3 Dy 0.3333 0.6667 0.1114 1
Th1 Th 0.3333 0.6667 0.3301 1
```

Computed properties:
Total magnetization, μB per atom: 0.000

Arrangement 2

A relaxed PmDy6Th2 crystal. Source: Alexandria via LeMat-Bulk, functional PBE.

Cell and atoms, written as CIF:
```
data_PmDy6Th2
_chemical_formula_sum 'Pm2 Dy12 Th4'
_cell_length_a 16.9031
_cell_length_b 9.7427
_cell_length_c 3.4816
_cell_angle_alpha 90.00
_cell_angle_beta 90.07
_cell_angle_gamma 90.00
_space_group_name_H-M_alt 'C 1 2/m 1'
_space_group_IT_number 12
_space_group_name_Hall '-C 2y'
loop_
_atom_site_label
_atom_site_type_symbol
_atom_site_fract_x
_atom_site_fract_y
_atom_site_fract_z
_atom_site_occupancy
Pm1 Pm 0.0000 0.0000 0.0000 1
Dy1 Dy 0.0000 0.3355 0.5000 1
Dy2 Dy 0.1675 0.1675 0.4991 1
Th1 Th 0.1668 0.5000 0.9999 1
```

Computed properties:
Total magnetization, μB per atom: 0.000

Least stable: arrangement 1

Arrangement 1

A relaxed Pm3Dy3Th2 crystal. Source: Alexandria via LeMat-Bulk, functional PBE.

Cell and atoms, written as CIF:
```
data_Pm3Dy3Th2
_chemical_formula_sum 'Pm3 Dy3 Th2'
_cell_length_a 6.2090
_cell_length_b 6.2180
_cell_length_c 8.0378
_cell_angle_alpha 104.96
_cell_angle_beta 105.02
_cell_angle_gamma 109.30
_space_group_name_H-M_alt 'P -1'
_space_group_IT_number 2
_space_group_name_Hall '-P 1'
loop_
_atom_site_label
_atom_site_type_symbol
_atom_site_fract_x
_atom_site_fract_y
_atom_site_fract_z
_atom_site_occupancy
Pm1 Pm 0.0000 0.0000 0.0000 1
Pm2 Pm 0.1303 0.6305 0.2606 1
Dy1 Dy 0.3723 0.8724 0.7449 1
Dy2 Dy 0.5000 0.5000 0.0000 1
Th1 Th 0.2517 0.2518 0.5035 1
```

Computed properties:
Total magnetization, μB per atom: 0.000

Arrangement 2

A relaxed Pm3Dy3Th2 crystal. Source: Alexandria via LeMat-Bulk, functional PBE.

Cell and atoms, written as CIF:
```
data_Pm3Dy3Th2
_chemical_formula_sum 'Pm6 Dy6 Th4'
_cell_length_a 5.0647
_cell_length_b 5.0727
_cell_length_c 20.4727
_cell_angle_alpha 90.00
_cell_angle_beta 90.00
_cell_angle_gamma 90.00
_space_group_name_H-M_alt 'I m m m'
_space_group_IT_number 71
_space_group_name_Hall '-I 2 2'
loop_
_atom_site_label
_atom_site_type_symbol
_atom_site_fract_x
_atom_site_fract_y
_atom_site_fract_z
_atom_site_occupancy
Pm1 Pm 0.0000 0.0000 0.0000 1
Pm2 Pm 0.0000 0.5000 0.1282 1
Dy1 Dy 0.0000 0.0000 0.5000 1
Dy2 Dy 0.0000 0.5000 0.3721 1
Th1 Th 0.0000 0.0000 0.2496 1
```

Computed properties:
Total magnetization, μB per atom: 0.000

Least stable: arrangement 1

Arrangement 1

A relaxed PmDyTh2 crystal. Source: Alexandria via LeMat-Bulk, functional PBE.

Cell and atoms, written as CIF:
```
data_PmDyTh2
_chemical_formula_sum 'Pm2 Dy2 Th4'
_cell_length_a 5.0580
_cell_length_b 5.0819
_cell_length_c 10.1629
_cell_angle_alpha 90.00
_cell_angle_beta 90.12
_cell_angle_gamma 90.00
_space_group_name_H-M_alt 'P 1 21/m 1'
_space_group_IT_number 11
_space_group_name_Hall '-P 2yb'
loop_
_atom_site_label
_atom_site_type_symbol
_atom_site_fract_x
_atom_site_fract_y
_atom_site_fract_z
_atom_site_occupancy
Pm1 Pm 0.0009 0.2500 0.3681 1
Dy1 Dy 0.4993 0.2500 0.6319 1
Th1 Th 0.9997 0.2500 0.8783 1
Th2 Th 0.4999 0.2500 0.1201 1
```

Computed properties:
Total magnetization, μB per atom: 0.000

Arrangement 2

A relaxed PmDyTh2 crystal. Source: Alexandria via LeMat-Bulk, functional PBE.

Cell and atoms, written as CIF:
```
data_PmDyTh2
_chemical_formula_sum 'Pm3 Dy3 Th6'
_cell_length_a 3.5802
_cell_length_b 3.5802
_cell_length_c 35.1247
_cell_angle_alpha 90.00
_cell_angle_beta 90.00
_cell_angle_gamma 120.00
_space_group_name_H-M_alt 'R 3 m'
_space_group_IT_number 160
_space_group_name_Hall 'R 3 -2"'
loop_
_atom_site_label
_atom_site_type_symbol
_atom_site_fract_x
_atom_site_fract_y
_atom_site_fract_z
_atom_site_occupancy
Pm1 Pm 0.0000 0.0000 0.0000 1
Dy1 Dy 0.0000 0.0000 0.1699 1
Th1 Th 0.0000 0.0000 0.5842 1
Th2 Th 0.0000 0.0000 0.7528 1
```

Computed properties:
Total magnetization, μB per atom: 0.000

Arrangement 3

A relaxed PmDyTh2 crystal. Source: Alexandria via LeMat-Bulk, functional PBE.

Cell and atoms, written as CIF:
```
data_PmDyTh2
_chemical_formula_sum 'Pm1 Dy1 Th2'
_cell_length_a 5.0204
_cell_length_b 5.0204
_cell_length_c 5.1563
_cell_angle_alpha 90.00
_cell_angle_beta 90.00
_cell_angle_gamma 90.00
_space_group_name_H-M_alt 'P 4/m m m'
_space_group_IT_number 123
_space_group_name_Hall '-P 4 2'
loop_
_atom_site_label
_atom_site_type_symbol
_atom_site_fract_x
_atom_site_fract_y
_atom_site_fract_z
_atom_site_occupancy
Pm1 Pm 0.0000 0.0000 0.0000 1
Dy1 Dy 0.5000 0.5000 0.0000 1
Th1 Th 0.0000 0.5000 0.5000 1
```

Computed properties:
Total magnetization, μB per atom: 0.000

Least stable: arrangement 3

Arrangement 1

A relaxed PmDyTh2 crystal. Source: Alexandria via LeMat-Bulk, functional PBE.

Cell and atoms, written as CIF:
```
data_PmDyTh2
_chemical_formula_sum 'Pm1 Dy1 Th2'
_cell_length_a 3.5610
_cell_length_b 3.5610
_cell_length_c 10.2707
_cell_angle_alpha 90.00
_cell_angle_beta 90.00
_cell_angle_gamma 90.00
_space_group_name_H-M_alt 'P 4/m m m'
_space_group_IT_number 123
_space_group_name_Hall '-P 4 2'
loop_
_atom_site_label
_atom_site_type_symbol
_atom_site_fract_x
_atom_site_fract_y
_atom_site_fract_z
_atom_site_occupancy
Pm1 Pm 0.0000 0.0000 0.0000 1
Dy1 Dy 0.0000 0.0000 0.5000 1
Th1 Th 0.5000 0.5000 0.2535 1
```

Computed properties:
Total magnetization, μB per atom: 0.000

Arrangement 2

A relaxed PmDyTh2 crystal. Source: Alexandria via LeMat-Bulk, functional PBE.

Cell and atoms, written as CIF:
```
data_PmDyTh2
_chemical_formula_sum 'Pm4 Dy4 Th8'
_cell_length_a 8.0404
_cell_length_b 8.0404
_cell_length_c 8.0404
_cell_angle_alpha 90.00
_cell_angle_beta 90.00
_cell_angle_gamma 90.00
_space_group_name_H-M_alt 'F m -3 m'
_space_group_IT_number 225
_space_group_name_Hall '-F 4 2 3'
loop_
_atom_site_label
_atom_site_type_symbol
_atom_site_fract_x
_atom_site_fract_y
_atom_site_fract_z
_atom_site_occupancy
Pm1 Pm 0.0000 0.0000 0.0000 1
Dy1 Dy 0.0000 0.0000 0.5000 1
Th1 Th 0.2500 0.2500 0.2500 1
```

Computed properties:
Total magnetization, μB per atom: 0.000

Arrangement 3

A relaxed PmDyTh2 crystal. Source: Alexandria via LeMat-Bulk, functional PBE.

Cell and atoms, written as CIF:
```
data_PmDyTh2
_chemical_formula_sum 'Pm3 Dy3 Th6'
_cell_length_a 3.5041
_cell_length_b 3.5041
_cell_length_c 37.3033
_cell_angle_alpha 90.00
_cell_angle_beta 90.00
_cell_angle_gamma 120.00
_space_group_name_H-M_alt 'R -3 m'
_space_group_IT_number 166
_space_group_name_Hall '-R 3 2"'
loop_
_atom_site_label
_atom_site_type_symbol
_atom_site_fract_x
_atom_site_fract_y
_atom_site_fract_z
_atom_site_occupancy
Pm1 Pm 0.0000 0.0000 0.0000 1
Dy1 Dy 0.0000 0.0000 0.5000 1
Th1 Th 0.0000 0.0000 0.0880 1
```

Computed properties:
Total magnetization, μB per atom: 0.000

Arrangement 4

A relaxed PmDyTh2 crystal. Source: Alexandria via LeMat-Bulk, functional PBE.

Cell and atoms, written as CIF:
```
data_PmDyTh2
_chemical_formula_sum 'Pm4 Dy4 Th8'
_cell_length_a 8.9365
_cell_length_b 18.0813
_cell_length_c 3.5503
_cell_angle_alpha 90.00
_cell_angle_beta 103.81
_cell_angle_gamma 90.00
_space_group_name_H-M_alt 'C 1 2/c 1'
_space_group_IT_number 15
_space_group_name_Hall '-C 2yc'
loop_
_atom_site_label
_atom_site_type_symbol
_atom_site_fract_x
_atom_site_fract_y
_atom_site_fract_z
_atom_site_occupancy
Pm1 Pm 0.2500 0.2500 0.0000 1
Dy1 Dy 0.0000 0.0926 0.2500 1
Th1 Th 0.1598 0.4193 0.1209 1
```

Computed properties:
Total magnetization, μB per atom: 0.000

Least stable: arrangement 4